(1)
11
Lattice="6.7671 -0.0029 -0.7531 0.0026 6.9821 0.0035 -1.1732 -0.0022 6.7070" Properties=species:S:1:pos:R:3 comment="Tm7In2Pt2 | the Alexandria database | PBE | optimized geometry" crystal_system=orthorhombic pbc="T T T"
Tm 6.1794 1.7551 2.6036
Tm 2.2147 5.2194 6.3316
Tm -0.5830 5.2220 3.3539
Tm 3.3818 1.7576 -0.3741
Tm 0.0000 0.0000 0.0000
Tm 2.8005 5.2721 2.9781
Tm 2.7959 1.7049 2.9794
In 4.6080 3.4868 4.9050
In 0.9884 3.4902 1.0524
Pt 4.4830 6.9793 1.3988
Pt 1.1134 -0.0023 4.5586

=====

(2)
11
Lattice="-4.8524 -0.5506 -1.1825 -1.2945 -1.8690 6.1822 1.3348 9.6083 0.7238" Properties=species:S:1:pos:R:3 comment="Tm8In2Pt | the Alexandria database | PBE | optimized geometry" crystal_system=monoclinic pbc="T T T"
Tm -1.6071 6.6237 3.5102
Tm -4.0202 0.6214 5.5321
Tm -3.9422 3.8040 3.7298
Tm -3.7600 8.2606 0.9070
Tm -0.8699 3.3848 1.9936
Tm -0.7919 6.5673 0.1913
Tm -3.2050 0.5651 2.2132
Tm -1.0521 -1.0719 4.8164
In -3.4334 5.1503 1.0152
In -1.3787 2.0384 4.7082
Pt -2.4262 -0.2753 -0.5913

=====

(3)
6
Lattice="4.5678 0.0000 0.0000 -2.2839 4.8193 0.0000 0.0000 0.0000 5.8367" Properties=species:S:1:pos:R:3 comment="TmInPt | the Alexandria database | PBE | optimized geometry" crystal_system=orthorhombic pbc="T T T"
Tm 2.2839 1.8934 1.4592
Tm 0.0000 2.9260 4.3776
In 0.0000 0.0000 0.0000
In 0.0000 0.0000 2.9184
Pt 0.0000 3.7095 1.4592
Pt 2.2839 1.1098 4.3776

=====

(4)
10
Lattice="-1.4030 3.3134 2.9839 -1.0895 -3.2972 3.1491 9.2278 0.5879 3.6860" Properties=species:S:1:pos:R:3 comment="TmIn2Pt2 | the Alexandria database | PBE | optimized geometry" crystal_system=monoclinic pbc="T T T"
Tm 4.9153 2.0960 5.4757
Tm 1.8200 -1.4920 4.3432
In -1.2614 1.6584 3.0574
In 5.0756 -1.2374 5.5912
In 7.9967 -1.0544 6.7615
In 1.6597 1.8414 4.2277
Pt 3.8119 0.2199 3.3789
Pt -0.4193 0.0861 5.1994
Pt 7.1545 0.5179 4.6196
Pt 2.9234 0.3842 6.4401

=====

Size of the total moment (μB/cell)
0.0, 0.0, 0.0, 0.0
Volume (A^3/atom)
28.2, 27.4, 21.4, 21.8
Energy relative to the elements (kcal/mol of atoms)
-12.954, -9.107, -21.206, -18.506